# 1
The following is a PBE calculation of crystalline PrErTeO2 at its relaxed geometry, from Alexandria via LeMat-Bulk.

Geometry as extended XYZ:
```
10
Lattice="4.152 0.000 0.000 0.000 6.935 -0.379 0.000 -1.956 7.666" Properties=species:S:1:pos:R:3 pbc="T T T"
Te 1.038 -1.124 5.698
Te 3.114 6.103 1.588
Er 3.114 1.259 4.363
Er 1.038 3.720 2.924
Pr 1.038 2.915 6.839
Pr 3.114 2.064 0.448
O 3.114 1.875 6.470
O 1.038 2.184 4.509
O 3.114 2.795 2.777
O 1.038 3.104 0.816
```

Summary:
formation energy from raw total energies	-2.914	eV per atom
D(E_F)	0.000	states/eV/atom
ρ	7.14	g/cm3

=====

# 2
The following is a PBE calculation of crystalline Si2PW at its relaxed geometry, from Alexandria via LeMat-Bulk.

Geometry as extended XYZ:
```
4
Lattice="2.945 -0.004 0.000 -1.114 2.727 0.000 0.000 0.000 7.442" Properties=species:S:1:pos:R:3 pbc="T T T"
Si 0.916 1.361 1.831
Si 0.000 0.000 7.437
P 0.916 1.361 5.578
W 0.000 0.000 3.760
```

Summary:
formation energy from raw total energies	0.417	eV per atom
D(E_F)	0.679	states/eV/atom
ρ	7.53	g/cm3

=====

# 3
The following is a PBE calculation of crystalline CaFeIr2 at its relaxed geometry, from Alexandria via LeMat-Bulk.

Geometry as extended XYZ:
```
4
Lattice="4.795 -0.055 0.014 3.984 2.669 0.014 1.058 0.315 5.195" Properties=species:S:1:pos:R:3 pbc="T T T"
Ca 7.377 2.197 3.917
Fe 2.459 0.732 1.306
Ir 5.008 1.491 2.338
Ir 8.689 2.587 0.301
```

Summary:
formation enthalpy at 0 K	0.48	eV/f.u.
D(E_F)	0.963	states/eV/atom
ΔE to the lowest computed polymorph	0.126	eV/atom
ρ	11.80	g/cm3

=====

# 4
The following is a PBE calculation of crystalline TbHo2Er4Mg at its relaxed geometry, from Alexandria via LeMat-Bulk.

Geometry as extended XYZ:
```
8
Lattice="-1.429 -2.707 3.842 2.585 -3.817 -1.728 10.521 -0.756 3.380" Properties=species:S:1:pos:R:3 pbc="T T T"
Ho 1.157 -6.523 2.114
Ho 4.546 -1.731 3.611
Mg 11.100 -4.017 4.437
Er 7.842 -2.869 4.035
Er 9.846 -3.423 1.249
Er 3.837 -4.410 1.459
Er 1.832 -3.856 4.245
Tb 5.125 -4.993 4.668
```

Summary:
formation enthalpy at 0 K	0.19	eV/f.u.
D(E_F)	1.479	states/eV/atom
ρ	8.18	g/cm3

=====

# 5
The following is a PBE calculation of crystalline LiGe2Pt at its relaxed geometry, from Alexandria via LeMat-Bulk.

Geometry as extended XYZ:
```
4
Lattice="3.917 0.000 0.000 0.000 4.001 0.000 0.000 0.000 4.001" Properties=species:S:1:pos:R:3 pbc="T T T"
Ge 0.000 2.000 0.000
Ge 0.000 0.000 2.000
Li 1.958 2.000 2.000
Pt 1.958 0.000 0.000
```

Summary:
formation enthalpy at 0 K	-1.13	eV/f.u.
D(E_F)	0.547	states/eV/atom
ΔE to the lowest computed polymorph	0.196	eV/atom
ρ	9.20	g/cm3

=====

# 6
The following is a PBE calculation of crystalline LaHSe2 at its relaxed geometry, from Alexandria via LeMat-Bulk.

Geometry as extended XYZ:
```
16
Lattice="5.604 0.000 -0.788 0.000 8.118 0.000 0.144 0.000 8.049" Properties=species:S:1:pos:R:3 pbc="T T T"
Se 1.849 3.137 1.154
Se 0.834 5.781 3.924
Se 3.827 7.196 2.083
Se 1.921 0.922 5.178
Se 4.914 2.337 3.337
Se 3.899 4.981 6.107
Se 0.762 6.396 -0.101
Se 4.986 1.722 7.362
H 2.266 5.404 4.268
H 3.482 2.714 2.993
H 3.554 1.345 7.018
H 2.194 6.773 0.243
La 1.064 3.700 6.299
La 0.992 0.359 2.275
La 4.684 4.418 0.962
La 4.756 7.759 4.986
```

Summary:
D(E_F)	0.000	states/eV/atom
ΔE to the lowest computed polymorph	0.000	eV/atom
ρ	5.39	g/cm3

=====

# 7
The following is a PBE calculation of crystalline SrOsPb at its relaxed geometry, from Alexandria via LeMat-Bulk.

Geometry as extended XYZ:
```
3
Lattice="-1.801 -2.839 5.507 0.990 -4.682 4.328 2.018 1.432 2.540" Properties=species:S:1:pos:R:3 pbc="T T T"
Os -0.754 -7.338 9.685
Pb 0.975 -1.870 5.230
Sr 0.174 -4.403 7.294
```

Summary:
formation enthalpy at 0 K	1.26	eV/f.u.
D(E_F)	0.162	states/eV/atom
ΔE to the lowest computed polymorph	0.000	eV/atom
ρ	10.77	g/cm3

=====

# 8
The following is a PBE calculation of crystalline GdCdAg at its relaxed geometry, from Alexandria via LeMat-Bulk.

Geometry as extended XYZ:
```
3
Lattice="3.141 0.000 0.000 0.000 3.141 0.000 -1.571 -1.571 8.079" Properties=species:S:1:pos:R:3 pbc="T T T"
Ag 0.000 0.000 2.206
Cd 1.571 1.571 4.200
Gd 1.571 1.571 7.328
```

Summary:
formation enthalpy at 0 K	1.03	eV/f.u.
D(E_F)	1.094	states/eV/atom
ρ	7.86	g/cm3

=====

Q: D(E_F) of number 3 (CaFeIr2)?
A: 0.963 states/eV/atom